No. 1
## Cs2SrMoF6 (GGA+U)

Data for Cs2SrMoF6 after structural relaxation.

```
data_Cs2SrMoF6
_chemical_formula_sum 'Cs2 Sr1 Mo1 F6'
_cell_length_a 6.5902
_cell_length_b 6.5902
_cell_length_c 6.5902
_cell_angle_alpha 121.28
_cell_angle_beta 119.41
_cell_angle_gamma 89.42
_symmetry_space_group_name_H-M 'P 1'
_symmetry_Int_Tables_number 1
loop_
_symmetry_equiv_pos_as_xyz
'x,y,z'
loop_
_atom_site_label
_atom_site_type_symbol
_atom_site_fract_x
_atom_site_fract_y
_atom_site_fract_z
Cs1 Cs 0.2449 0.2449 0.0000
Cs2 Cs 0.7551 0.7551 0.0000
Sr1 Sr 0.5000 0.0000 0.5000
Mo1 Mo 0.0000 0.5000 0.5000
F1 F 0.2418 0.2619 0.5038
F2 F 0.2418 0.7381 0.9799
F3 F 0.2432 0.7432 0.5000
F4 F 0.7568 0.2568 0.5000
F5 F 0.7582 0.2619 0.0201
F6 F 0.7582 0.7381 0.4962
```

Output
**SG**: No. 71
**Magnetization**: 2.000 Bohr magnetons per cell
**Total DFT energy (no corrections)**: -49.8 eV/cell

---

No. 2
## CsSr2MoF8 (GGA+U)

Data for CsSr2MoF8 after structural relaxation.

```
data_CsSr2MoF8
_chemical_formula_sum 'Cs1 Sr2 Mo1 F8'
_cell_length_a 4.5271
_cell_length_b 8.1655
_cell_length_c 5.8310
_cell_angle_alpha 90.00
_cell_angle_beta 98.22
_cell_angle_gamma 90.00
_symmetry_space_group_name_H-M 'P 1'
_symmetry_Int_Tables_number 1
loop_
_symmetry_equiv_pos_as_xyz
'x,y,z'
loop_
_atom_site_label
_atom_site_type_symbol
_atom_site_fract_x
_atom_site_fract_y
_atom_site_fract_z
Cs1 Cs 0.0000 0.0000 0.0000
Sr1 Sr 0.5000 0.2552 0.5000
Sr2 Sr 0.5000 0.7448 0.5000
Mo1 Mo 0.0000 0.5000 0.0000
F1 F 0.0538 0.3129 0.7528
F2 F 0.0538 0.6871 0.7528
F3 F 0.4150 0.5000 0.2232
F4 F 0.4426 0.0000 0.7076
F5 F 0.5574 0.0000 0.2924
F6 F 0.5850 0.5000 0.7768
F7 F 0.9462 0.3129 0.2472
F8 F 0.9462 0.6871 0.2472
```

Output
**SG**: No. 10
**Magnetization**: 3.000 Bohr magnetons per cell
**N(E_F)**: 0.000 states/eV per cell
**Total DFT energy (no corrections)**: -65.1 eV/cell

---

No. 3
## CsSrMoF6 (GGA+U)

Data for CsSrMoF6 after structural relaxation.

```
data_CsSrMoF6
_chemical_formula_sum 'Cs2 Sr2 Mo2 F12'
_cell_length_a 7.9384
_cell_length_b 7.9384
_cell_length_c 7.9384
_cell_angle_alpha 120.13
_cell_angle_beta 117.48
_cell_angle_gamma 92.10
_symmetry_space_group_name_H-M 'P 1'
_symmetry_Int_Tables_number 1
loop_
_symmetry_equiv_pos_as_xyz
'x,y,z'
loop_
_atom_site_label
_atom_site_type_symbol
_atom_site_fract_x
_atom_site_fract_y
_atom_site_fract_z
Cs1 Cs 0.3555 0.1055 0.2500
Cs2 Cs 0.6445 0.8945 0.7500
Sr1 Sr 0.0000 0.5000 0.5000
Sr2 Sr 0.5000 0.5000 0.0000
Mo1 Mo 0.0000 0.0000 0.5000
Mo2 Mo 0.0000 0.5000 0.0000
F1 F 0.0468 0.3463 0.1583
F2 F 0.0468 0.8885 0.7004
F3 F 0.0681 0.3181 0.7500
F4 F 0.3120 0.1115 0.6583
F5 F 0.3120 0.6537 0.2004
F6 F 0.3593 0.6093 0.7500
F7 F 0.6407 0.3907 0.2500
F8 F 0.6880 0.3463 0.7996
F9 F 0.6880 0.8885 0.3417
F10 F 0.9319 0.6819 0.2500
F11 F 0.9532 0.1115 0.2996
F12 F 0.9532 0.6537 0.8417
```

Output
**SG**: No. 74
**Magnetization**: 6.000 Bohr magnetons per cell
**N(E_F)**: 0.000 states/eV per cell
**Total DFT energy (no corrections)**: -97.5 eV/cell

---

Q: Among the records above, which one has the lowest total DFT energy (no corrections)?
A: CsSrMoF6

---

Q: Which of these has the lowest total DFT energy (no corrections)?
A: CsSrMoF6

---

Q: What is the magnetization in the first record?
A: 2.000 Bohr magnetons per cell